Version P
Density functional theory data (PBE) for a relaxed structure of Nd4Ho5Sc2.

Summary:
- Crystal system: orthorhombic

Unit cell a=3.4601 b=9.2995 c=22.2801 alpha=90.00 beta=90.00 gamma=90.00
Last column: nearest neighbours and their distance in Å.
Space group Immm (No. 71)
Asymmetric unit:
Nd1 0.0000 0.0000 0.0985 (multiplicity 4)  1 Sc 2.92
Nd2 0.0000 0.2937 0.5000 (multiplicity 4)  4 Ho 3.23-3.56, 6 Nd 3.39-3.46
Ho1 0.0000 0.2055 0.3446 (multiplicity 8)  1 Sc 3.20, 2 Ho 3.46, 3 Nd 3.48-3.56
Ho2 0.0000 0.5000 0.0000 (multiplicity 2)  4 Nd 3.23, 2 Ho 3.46
Sc1 0.0000 0.0000 0.2294 (multiplicity 4)  1 Nd 2.92, 2 Ho 3.20

=====

Version Q
Density functional theory data (PBE) for a relaxed structure of Nd4Ho5Sc2.

Summary:
- Crystal system: monoclinic

Unit cell a=18.0306 b=4.9994 c=7.8992 alpha=90.00 beta=105.28 gamma=90.00
Last column: nearest neighbours and their distance in Å.
Space group C2/m (No. 12)
Asymmetric unit:
Nd1 0.0439 0.0000 0.2227 (multiplicity 4)  3 Nd 3.46-3.56, 5 Ho 3.49-3.60, 4 Sc 3.50-3.53
Nd2 0.1823 0.5000 0.4055 (multiplicity 4)  1 Sc 3.52, 4 Nd 3.54-3.56, 7 Ho 3.54-3.61
Ho1 0.0000 0.5000 0.5000 (multiplicity 2)  2 Sc 3.52, 4 Ho 3.53, 6 Nd 3.55-3.56
Ho2 0.1355 0.0000 0.6870 (multiplicity 4)  5 Ho 3.45-3.55, 5 Nd 3.49-3.60, 2 Sc 3.50
Ho3 0.2266 0.0000 0.1297 (multiplicity 4)  5 Ho 3.45-3.55, 3 Sc 3.53, 4 Nd 3.54-3.61
Sc1 0.0903 0.5000 0.9527 (multiplicity 4)  6 Ho 3.50-3.53, 5 Nd 3.50-3.53, 1 Sc 3.53

=====

Last place for stability: version P

=====

Version P
Density functional theory data (PBE) for a relaxed structure of Nd3Ho6Sc.

Summary:
- Crystal system: monoclinic

Unit cell a=11.4350 b=6.5287 c=9.6176 alpha=90.00 beta=114.55 gamma=90.00
Last column: nearest neighbours and their distance in Å.
Space group C2/m (No. 12)
Asymmetric unit:
Nd1 0.0000 0.0000 0.0000 (multiplicity 2)  4 Ho 3.32, 2 Nd 3.33
Nd2 0.0708 0.0000 0.6972 (multiplicity 4)  4 Ho 3.25-3.34, 2 Nd 3.33-3.45
Ho1 0.1365 0.5000 0.9199 (multiplicity 4)  1 Sc 3.68, 9 Ho 3.80-4.05, 6 Nd 3.80-3.90
Ho2 0.1866 0.2533 0.3141 (multiplicity 8)  3 Ho 3.22-3.31, 3 Nd 3.25-3.34
Sc1 0.0000 0.5000 0.5000 (multiplicity 2)  10 Ho 3.67-3.68, 4 Nd 3.69

=====

Version Q
Density functional theory data (PBE) for a relaxed structure of Nd3Ho6Sc.

Summary:
- Crystal system: orthorhombic

Unit cell a=10.9265 b=18.8458 c=6.2481 alpha=90.00 beta=90.00 gamma=90.00
Last column: nearest neighbours and their distance in Å.
Space group Cmc2_1 (No. 36)
Asymmetric unit:
Nd1 0.0000 0.1127 0.0000 (multiplicity 4)  7 Ho 3.41-3.78, 1 Sc 3.50, 2 Nd 3.69
Nd2 0.1686 0.3870 0.3891 (multiplicity 8)  1 Sc 3.23, 6 Ho 3.29-3.58
Ho1 0.0000 0.2230 0.5669 (multiplicity 4)  4 Ho 3.18-3.37, 2 Sc 3.39-3.45, 1 Nd 3.41
Ho2 0.0000 0.4539 0.8372 (multiplicity 4)  1 Sc 3.27, 4 Nd 3.53-3.58, 2 Ho 3.57
Ho3 0.1653 0.0460 0.4785 (multiplicity 8)  4 Nd 3.39-3.71, 5 Ho 3.40-3.76
Ho4 0.2477 0.2100 0.3022 (multiplicity 8)  5 Ho 3.18-3.47, 2 Sc 3.20-3.50, 2 Nd 3.29-3.49
Sc1 0.0000 0.2970 0.0616 (multiplicity 4)  7 Ho 3.20-3.50, 3 Nd 3.23-3.50

=====

Last place for stability: version P

=====

Version P
Density functional theory data (PBE) for a relaxed structure of Nd2Ho7Sc2.

Summary:
- Crystal system: monoclinic

Unit cell a=11.0982 b=11.3740 c=5.9188 alpha=90.00 beta=113.15 gamma=90.00
Last column: nearest neighbours and their distance in Å.
Space group C2/m (No. 12)
Asymmetric unit:
Nd1 0.0000 0.2176 0.0000 (multiplicity 4)  6 Ho 3.26-3.54, 2 Sc 3.61
Ho1 0.0000 0.0000 0.5000 (multiplicity 2)  6 Ho 3.19-3.50
Ho2 0.1742 0.2319 0.6678 (multiplicity 8)  3 Ho 3.10-3.33, 2 Nd 3.26-3.42
Ho3 0.2432 0.0000 0.0955 (multiplicity 4)  3 Sc 3.32-3.53, 5 Ho 3.33-3.52, 2 Nd 3.54
Sc1 0.0882 0.5000 0.3004 (multiplicity 4)  2 Sc 3.32-3.61, 7 Ho 3.32-3.68, 2 Nd 3.61

=====

Version Q
Density functional theory data (PBE) for a relaxed structure of Nd2Ho7Sc2.

Summary:
- Crystal system: monoclinic

Unit cell a=9.2396 b=8.9902 c=8.5135 alpha=90.00 beta=102.49 gamma=90.00
Last column: nearest neighbours and their distance in Å.
Space group C2/m (No. 12)
Asymmetric unit:
Nd1 0.1060 0.0000 0.3660 (multiplicity 4)  7 Ho 3.16-3.35, 1 Nd 3.31
Ho1 0.0000 0.5000 0.5000 (multiplicity 2)  8 Ho 3.54-3.94, 2 Nd 3.57
Ho2 0.1904 0.0000 0.0256 (multiplicity 4)  1 Nd 3.16, 3 Ho 3.32-3.45, 4 Sc 3.34-3.35
Ho3 0.2072 0.1993 0.7024 (multiplicity 8)  2 Sc 3.29-3.65, 4 Ho 3.32-3.58, 3 Nd 3.33-3.35
Sc1 0.0000 0.3195 0.0000 (multiplicity 4)  1 Sc 3.25, 6 Ho 3.29-3.35

=====

Last place for stability: version P

=====

Version P
Density functional theory data (PBE) for a relaxed structure of Nd5Ho4Sc.

Summary:
- Crystal system: triclinic

Unit cell a=3.5423 b=9.3997 c=10.6745 alpha=75.56 beta=89.98 gamma=79.25
Last column: nearest neighbours and their distance in Å.
Space group P-1 (No. 2)
Asymmetric unit:
Nd1 0.0000 0.0000 0.0000 (multiplicity 1)  4 Ho 3.34, 6 Nd 3.54-3.55
Nd2 0.3322 0.3392 0.9728 (multiplicity 2)  2 Ho 3.39-3.44, 6 Nd 3.54-3.64
Nd3 0.3438 0.3137 0.5980 (multiplicity 2)  4 Ho 3.42-3.70, 2 Nd 3.54, 2 Sc 3.76
Ho1 0.1737 0.6488 0.7125 (multiplicity 2)  4 Ho 3.34-3.54, 4 Nd 3.44-3.70, 1 Sc 3.45
Ho2 0.4706 0.0588 0.2479 (multiplicity 2)  2 Sc 3.15, 4 Nd 3.34-3.42, 2 Ho 3.34-3.35
Sc1 0.0000 0.0000 0.5000 (multiplicity 1)  6 Ho 3.15-3.45

=====

Version Q
Density functional theory data (PBE) for a relaxed structure of Nd5Ho4Sc.

Summary:
- Crystal system: tetragonal

Unit cell a=3.6119 b=3.6119 c=24.7913 alpha=90.00 beta=90.00 gamma=90.00
Last column: nearest neighbours and their distance in Å.
Space group P4/mmm (No. 123)
Asymmetric unit:
Nd1 0.0000 0.0000 0.0000 (multiplicity 1)  8 Ho 3.59, 4 Nd 3.61
Nd2 0.0000 0.0000 0.2038 (multiplicity 2)  8 Ho 3.59, 4 Nd 3.61
Nd3 0.0000 0.0000 0.4072 (multiplicity 2)  4 Sc 3.44, 4 Ho 3.59, 4 Nd 3.61
Ho1 0.5000 0.5000 0.1019 (multiplicity 2)  8 Nd 3.59, 4 Ho 3.61
Ho2 0.5000 0.5000 0.3057 (multiplicity 2)  8 Nd 3.59, 4 Ho 3.61
Sc1 0.5000 0.5000 0.5000 (multiplicity 1)  8 Nd 3.44, 4 Sc 3.61

=====

Last place for stability: version P

=====

Version P
Density functional theory data (PBE) for a relaxed structure of Nd8HoSc2.

Summary:
- Crystal system: monoclinic

Unit cell a=9.0466 b=16.1878 c=5.9011 alpha=90.00 beta=121.92 gamma=90.00
Last column: nearest neighbours and their distance in Å.
Space group C2/m (No. 12)
Asymmetric unit:
Nd1 0.0000 0.2084 0.0000 (multiplicity 4)  1 Ho 3.37, 2 Sc 3.38, 6 Nd 3.59-3.69
Nd2 0.0805 0.5000 0.7945 (multiplicity 4)  3 Nd 2.97-3.31, 1 Ho 3.32
Nd3 0.2158 0.1195 0.6713 (multiplicity 8)  6 Nd 3.31-3.69, 2 Sc 3.42-3.50
Ho1 0.0000 0.0000 0.0000 (multiplicity 2)  4 Nd 3.32-3.37
Sc1 0.0000 0.3100 0.5000 (multiplicity 4)  8 Nd 3.38-3.50

=====

Version Q
Density functional theory data (PBE) for a relaxed structure of Nd8HoSc2.

Summary:
- Crystal system: orthorhombic

Unit cell a=5.5348 b=8.4517 c=15.7053 alpha=90.00 beta=90.00 gamma=90.00
Last column: nearest neighbours and their distance in Å.
Space group Immm (No. 71)
Asymmetric unit:
Nd1 0.0000 0.0000 0.1601 (multiplicity 4)  2 Sc 3.52, 8 Nd 3.53-3.75, 2 Ho 3.74
Nd2 0.0000 0.2025 0.3565 (multiplicity 8)  1 Ho 3.38, 3 Sc 3.38-3.50, 6 Nd 3.42-3.75
Nd3 0.0000 0.3010 0.0000 (multiplicity 4)  7 Nd 3.36-3.58, 2 Sc 3.58, 2 Ho 3.76
Ho1 0.0000 0.5000 0.5000 (multiplicity 2)  12 Nd 3.38-3.76
Sc1 0.0000 0.5000 0.2013 (multiplicity 4)  10 Nd 3.38-3.58

=====

Last place for stability: version P

=====

Version P
Density functional theory data (PBE) for a relaxed structure of NdHo7Sc4.

Summary:
- Crystal system: triclinic

Unit cell a=6.0210 b=6.9548 c=8.5566 alpha=90.03 beta=103.66 gamma=90.05
Last column: nearest neighbours and their distance in Å.
Space group P-1 (No. 2)
Asymmetric unit:
Nd1 0.0000 0.0000 0.0000 (multiplicity 1)  10 Ho 3.47-3.52, 2 Sc 3.47
Ho1 0.0000 0.5000 0.0000 (multiplicity 1)  4 Sc 3.43-3.46, 6 Ho 3.44-3.48, 2 Nd 3.48
Ho2 0.2246 0.0006 0.6625 (multiplicity 2)  5 Sc 3.37-3.50, 6 Ho 3.38-3.54, 1 Nd 3.47
Ho3 0.2839 0.7429 0.3403 (multiplicity 2)  6 Sc 3.32-3.57, 5 Ho 3.38-3.54, 1 Nd 3.50
Ho4 0.4977 0.2551 0.0045 (multiplicity 2)  7 Ho 3.41-3.55, 3 Sc 3.43-3.48, 2 Nd 3.47-3.52
Sc1 0.2163 0.4998 0.6599 (multiplicity 2)  4 Sc 3.30-3.50, 8 Ho 3.32-3.48
Sc2 0.2752 0.2560 0.3384 (multiplicity 2)  3 Sc 3.32-3.50, 8 Ho 3.34-3.57, 1 Nd 3.47

=====

Version Q
Density functional theory data (PBE) for a relaxed structure of NdHo7Sc4.

Summary:
- Crystal system: monoclinic

Unit cell a=15.4064 b=5.7227 c=9.4035 alpha=90.00 beta=120.48 gamma=90.00
Last column: nearest neighbours and their distance in Å.
Space group C2/m (No. 12)
Asymmetric unit:
Nd1 0.0000 0.0000 0.0000 (multiplicity 2)  2 Ho 2.86
Ho1 0.0000 0.5000 0.0000 (multiplicity 2)  2 Nd 2.86, 2 Sc 3.00
Ho2 0.0895 0.0000 0.4507 (multiplicity 4)  5 Sc 3.24-3.47, 3 Ho 3.33-3.50
Ho3 0.2119 0.0000 0.8825 (multiplicity 4)  6 Ho 3.44-3.50, 4 Sc 3.56-3.73
Ho4 0.2382 0.0000 0.2730 (multiplicity 4)  4 Sc 3.04-3.29, 1 Nd 3.24
Sc1 0.0567 0.5000 0.7004 (multiplicity 4)  2 Ho 3.04-3.35, 2 Sc 3.21-3.25
Sc2 0.1663 0.5000 0.3536 (multiplicity 4)  5 Ho 3.00-3.29, 1 Sc 3.21

=====

Last place for stability: version Q

=====

Version P
Density functional theory data (PBE) for a relaxed structure of Nd4HoSc.

Summary:
- Crystal system: monoclinic

Unit cell a=6.2121 b=10.7136 c=6.2084 alpha=90.00 beta=109.11 gamma=90.00
Last column: nearest neighbours and their distance in Å.
Space group C2/m (No. 12)
Asymmetric unit:
Nd1 0.0000 0.1627 0.0000 (multiplicity 4)  7 Nd 3.49-3.63, 2 Sc 3.56, 3 Ho 3.56-3.61
Nd2 0.0000 0.3339 0.5000 (multiplicity 4)  7 Nd 3.56-3.61, 3 Sc 3.58, 2 Ho 3.58
Ho1 0.0000 0.5000 0.0000 (multiplicity 2)  10 Nd 3.56-3.61, 2 Sc 3.60
Sc1 0.0000 0.0000 0.5000 (multiplicity 2)  10 Nd 3.56-3.58, 2 Ho 3.60

=====

Version Q
Density functional theory data (PBE) for a relaxed structure of Nd4HoSc.

Summary:
- Crystal system: orthorhombic

Unit cell a=11.4773 b=11.5274 c=3.4651 alpha=90.00 beta=90.00 gamma=90.00
Last column: nearest neighbours and their distance in Å.
Space group Cmmm (No. 65)
Asymmetric unit:
Nd1 0.0000 0.2330 0.0000 (multiplicity 4)  1 Ho 3.08, 2 Sc 3.20
Nd2 0.2454 0.5000 0.5000 (multiplicity 4)  1 Sc 2.92
Ho1 0.0000 0.5000 0.0000 (multiplicity 2)  6 Nd 3.08-3.31
Sc1 0.0000 0.0000 0.5000 (multiplicity 2)  6 Nd 2.92-3.20

=====

Last place for stability: version Q

=====

Version P
Density functional theory data (PBE) for a relaxed structure of NdHo12Sc7.

Summary:
- Crystal system: cubic

Unit cell a=10.9393 b=10.9393 c=10.9393 alpha=90.00 beta=90.00 gamma=90.00
Last column: nearest neighbours and their distance in Å.
Space group Im-3m (No. 229)
Asymmetric unit:
Nd1 0.0000 0.0000 0.0000 (multiplicity 2)  12 Ho 4.09
Ho1 0.0000 0.2646 0.2646 (multiplicity 24)  2 Sc 2.74
Sc1 0.0000 0.0000 0.5000 (multiplicity 6)  12 Ho 3.64-3.87
Sc2 0.2500 0.2500 0.2500 (multiplicity 8)  6 Ho 2.74

=====

Version Q
Density functional theory data (PBE) for a relaxed structure of NdHo12Sc7.

Summary:
- Crystal system: trigonal

Unit cell a=16.1022 b=16.1022 c=7.9669 alpha=90.00 beta=90.00 gamma=120.00
Last column: nearest neighbours and their distance in Å.
Space group R-3m (No. 166, hexagonal axes)
Asymmetric unit:
Nd1 0.0000 0.0000 0.0000 (multiplicity 3)  8 Sc 3.79-3.98, 6 Ho 3.96
Ho1 0.0000 0.2828 0.0000 (multiplicity 18)  2 Ho 3.01, 4 Sc 3.23-3.24
Ho2 0.1106 0.2211 0.3121 (multiplicity 18)  4 Sc 3.12-3.43, 3 Ho 3.15-3.48
Sc1 0.0000 0.0000 0.5000 (multiplicity 3)  6 Ho 3.43, 6 Sc 3.62
Sc2 0.1096 0.5548 0.3964 (multiplicity 18)  7 Ho 3.12-3.33, 1 Sc 3.47

=====

Last place for stability: version P

=====

Version P
Density functional theory data (PBE) for a relaxed structure of NdHo6Sc3.

Summary:
- Crystal system: orthorhombic

Unit cell a=10.2145 b=18.7162 c=6.2145 alpha=90.00 beta=90.00 gamma=90.00
Last column: nearest neighbours and their distance in Å.
Space group Cmc2_1 (No. 36)
Asymmetric unit:
Nd1 0.0000 0.2117 0.0000 (multiplicity 4)  3 Sc 3.01-3.28, 4 Ho 3.21-3.32
Ho1 0.0000 0.0448 0.6426 (multiplicity 4)  6 Ho 3.53-3.78, 4 Sc 3.56-3.61, 1 Nd 3.83
Ho2 0.0000 0.3140 0.4645 (multiplicity 4)  1 Sc 3.16, 6 Ho 3.34-3.44, 1 Nd 3.46
Ho3 0.1703 0.4647 0.3145 (multiplicity 8)  4 Sc 3.18-3.37, 6 Ho 3.38-3.54
Ho4 0.2303 0.2031 0.6493 (multiplicity 8)  3 Sc 3.18-3.52, 2 Nd 3.21-3.32, 3 Ho 3.34-3.46
Sc1 0.0000 0.3854 0.9257 (multiplicity 4)  7 Ho 3.16-3.50, 1 Nd 3.28, 2 Sc 3.38
Sc2 0.1945 0.1146 0.2166 (multiplicity 8)  1 Nd 3.01, 3 Ho 3.18-3.22

=====

Version Q
Density functional theory data (PBE) for a relaxed structure of NdHo6Sc3.

Summary:
- Crystal system: trigonal

Unit cell a=9.5953 b=9.5953 c=11.2692 alpha=90.00 beta=90.00 gamma=120.00
Last column: nearest neighbours and their distance in Å.
Space group R3 (No. 146, hexagonal axes)
Asymmetric unit:
Nd1 0.0000 0.0000 0.0000 (multiplicity 3)  2 Sc 2.93, 3 Ho 3.28
Ho1 0.0002 0.3415 0.0005 (multiplicity 9)  2 Sc 3.27, 1 Nd 3.28, 2 Ho 3.65
Ho2 0.0001 0.6648 0.5005 (multiplicity 9)  3 Sc 3.22-3.36
Sc1 0.0000 0.0000 0.2596 (multiplicity 3)  1 Sc 2.71, 1 Nd 2.93
Sc2 0.0000 0.0000 0.4997 (multiplicity 3)  2 Sc 2.70-2.71
Sc3 0.0000 0.0000 0.7396 (multiplicity 3)  1 Sc 2.70, 1 Nd 2.93

=====

Last place for stability: version Q

=====

Version P
Density functional theory data (PBE) for a relaxed structure of Nd2Ho3Sc.

Summary:
- Crystal system: orthorhombic

Unit cell a=6.6557 b=17.2058 c=3.3327 alpha=90.00 beta=90.00 gamma=90.00
Last column: nearest neighbours and their distance in Å.
Space group Pnnm (No. 58)
Asymmetric unit:
Nd1 0.2483 0.1512 0.0000 (multiplicity 4)  1 Sc 3.08, 2 Ho 3.32-3.37, 2 Nd 3.33
Ho1 0.0000 0.5000 0.0000 (multiplicity 2)  2 Ho 3.33, 4 Nd 3.51, 4 Sc 3.72
Ho2 0.2440 0.3286 0.5000 (multiplicity 4)  4 Nd 3.32-3.48, 2 Ho 3.33, 1 Sc 3.41
Sc1 0.0000 0.0000 0.0000 (multiplicity 2)  2 Nd 3.08, 2 Sc 3.33, 2 Ho 3.41

=====

Version Q
Density functional theory data (PBE) for a relaxed structure of Nd2Ho3Sc.

Summary:
- Crystal system: orthorhombic

Unit cell a=4.9836 b=14.9551 c=5.0284 alpha=90.00 beta=90.00 gamma=90.00
Last column: nearest neighbours and their distance in Å.
Space group Cmmm (No. 65)
Asymmetric unit:
Nd1 0.0000 0.1622 0.0000 (multiplicity 4)  2 Sc 3.48, 8 Ho 3.49-3.61, 2 Nd 3.62
Ho1 0.0000 0.0000 0.5000 (multiplicity 2)  4 Nd 3.49, 4 Ho 3.50, 4 Sc 3.54
Ho2 0.0000 0.3357 0.5000 (multiplicity 4)  4 Ho 3.50-3.57, 2 Sc 3.52, 6 Nd 3.54-3.61
Sc1 0.0000 0.5000 0.0000 (multiplicity 2)  4 Nd 3.48, 8 Ho 3.52-3.54

=====

Last place for stability: version P